Computed, not measured: a crystal of ScOsW2 relaxed with PBEsol at the meta-GGA SCAN level of DFT.

a b c (Å): 3.148 3.148 6.467
angles (deg): 90.00 90.00 90.00
Fractional positions:
Sc 0.000 0.000 0.000
Os 0.500 0.500 0.739
W 0.000 0.000 0.503
W 0.500 0.500 0.268

Summary:
ΔH_f (0 K)	-0.12	eV/f.u.
space-group type	P4mm, No. 99
size of the total moment	0.000	μB per atom
excess energy over the best structure of this formula in the dataset	0.0	meV per atom